First-principles (PBE) data for Lu4InN3 after structural relaxation, as listed in OQMD.

Calculated values
The value obtained for the total energy is -115.7 eV per cell. The total magnetization is 0.000 μB per atom. Its calculated density is 10.955 g cm⁻³.

Cell lengths 3.378, 3.378, 26.282 Å; angles 90.00, 90.00, 120.00 degrees
Sites, in units of the cell vectors:
1 Lu 0.000 0.000 0.152
2 Lu 0.000 0.000 0.348
3 Lu 0.000 0.000 0.652
4 Lu 0.000 0.000 0.848
5 Lu 0.333 0.667 0.050
6 Lu 0.333 0.667 0.450
7 Lu 0.667 0.333 0.550
8 Lu 0.667 0.333 0.950
9 In 0.333 0.667 0.250
10 In 0.667 0.333 0.750
11 N 0.000 0.000 0.000
12 N 0.000 0.000 0.500
13 N 0.333 0.667 0.606
14 N 0.333 0.667 0.894
15 N 0.667 0.333 0.106
16 N 0.667 0.333 0.394